# PBE+U La2MnP2O, relaxed
# Uncorrected energy in eV/atom: -5.672
# Total magnetic moment in μB per formula unit: 5.21
# Space-group type: No. 123
data_La2MnP2O
_chemical_formula_sum 'La2 Mn1 P2 O1'
_space_group_name_H-M_alt 'P 1'
_space_group_IT_number 1
_cell_length_a 3.3559
_cell_length_b 3.3559
_cell_length_c 14.9004
_cell_angle_alpha 90.00
_cell_angle_beta 90.00
_cell_angle_gamma 90.00
loop_
_space_group_symop_operation_xyz
'x,y,z'
loop_
_atom_site_label
_atom_site_fract_x
_atom_site_fract_y
_atom_site_fract_z
La1 0.0000 0.0000 0.1416
La2 0.0000 0.0000 0.8584
Mn1 0.0000 0.0000 0.5000
P1 0.0000 0.0000 0.3399
P2 0.0000 0.0000 0.6601
O1 0.0000 0.0000 0.0000